Model A:
MgSbTe2Ru: relaxed, PBE.

Properties
Volume (Å³/cell): 144
DOS(E_F) (states/eV/cell): 8.11
Theoretical density (g/cm3): 5.80

Structure (CIF):
```
data_MgSbTe2Ru
_chemical_formula_sum 'Mg1 Sb1 Te2 Ru1'
_space_group_name_H-M_alt 'P 4/m m m'
_space_group_IT_number 123
_space_group_name_Hall '-P 4 2'
_cell_length_a 5.274
_cell_length_b 5.274
_cell_length_c 5.170
_cell_angle_alpha 90.00
_cell_angle_beta 90.00
_cell_angle_gamma 90.00
loop_
_atom_site_label
_atom_site_type_symbol
_atom_site_fract_x
_atom_site_fract_y
_atom_site_fract_z
Mg1 Mg 0.000 0.000 0.000
Sb1 Sb 0.000 0.000 0.500
Te1 Te 0.000 0.500 0.000
Ru1 Ru 0.500 0.500 0.500
```

Model B:
MgSbTe2Ru: relaxed, PBE.

Properties
Volume (Å³/cell): 145
DOS(E_F) (states/eV/cell): 7.39
Theoretical density (g/cm3): 5.75

Structure (CIF):
```
data_MgSbTe2Ru
_chemical_formula_sum 'Mg1 Sb1 Te2 Ru1'
_space_group_name_H-M_alt 'P 4/m m m'
_space_group_IT_number 123
_space_group_name_Hall '-P 4 2'
_cell_length_a 5.410
_cell_length_b 5.410
_cell_length_c 4.953
_cell_angle_alpha 90.00
_cell_angle_beta 90.00
_cell_angle_gamma 90.00
loop_
_atom_site_label
_atom_site_type_symbol
_atom_site_fract_x
_atom_site_fract_y
_atom_site_fract_z
Mg1 Mg 0.000 0.000 0.000
Sb1 Sb 0.500 0.500 0.000
Te1 Te 0.000 0.500 0.500
Ru1 Ru 0.500 0.500 0.500
```

Most stable one: model B, least stable one: model A.

Model A:
YCo2Cl: relaxed, PBE.

Properties
Volume (Å³/cell): 142
DOS(E_F) (states/eV/cell): 7.26
Theoretical density (g/cm3): 5.68

Structure (CIF):
```
data_YCo2Cl
_chemical_formula_sum 'Y2 Co4 Cl2'
_space_group_name_H-M_alt 'C 1 2/m 1'
_space_group_IT_number 12
_cell_length_a 5.195
_cell_length_b 10.634
_cell_length_c 3.314
_cell_angle_alpha 90.00
_cell_angle_beta 129.31
_cell_angle_gamma 90.00
loop_
_space_group_symop_operation_xyz
'x,y,z'
'-x,-y,-z'
'-x,y,-z'
'x,-y,z'
'x+1/2,y+1/2,z'
'-x+1/2,-y+1/2,-z'
'-x+1/2,y+1/2,-z'
'x+1/2,-y+1/2,z'
loop_
_atom_site_label
_atom_site_type_symbol
_atom_site_fract_x
_atom_site_fract_y
_atom_site_fract_z
Y1 Y 0.000 0.000 0.000
Co1 Co 0.250 0.250 0.500
Cl1 Cl 0.000 0.500 0.000
```

Model B:
YCo2Cl: relaxed, PBE.

Properties
Volume (Å³/cell): 85
DOS(E_F) (states/eV/cell): 3.39
Theoretical density (g/cm3): 4.71

Structure (CIF):
```
data_YCo2Cl
_chemical_formula_sum 'Y1 Co2 Cl1'
_space_group_name_H-M_alt 'P 4 m m'
_space_group_IT_number 99
_cell_length_a 3.268
_cell_length_b 3.268
_cell_length_c 7.995
_cell_angle_alpha 90.00
_cell_angle_beta 90.00
_cell_angle_gamma 90.00
loop_
_space_group_symop_operation_xyz
'x,y,z'
'-y,x,z'
'-x,-y,z'
'y,-x,z'
'-x,y,z'
'y,x,z'
'x,-y,z'
'-y,-x,z'
loop_
_atom_site_label
_atom_site_type_symbol
_atom_site_fract_x
_atom_site_fract_y
_atom_site_fract_z
Y1 Y 0.000 0.000 0.000
Co1 Co 0.000 0.000 0.676
Co2 Co 0.500 0.500 0.750
Cl1 Cl 0.500 0.500 0.207
```

Most stable one: model B, least stable one: model A.

Model A:
TlOsRh2: relaxed, PBE.

Properties
Volume (Å³/cell): 64
DOS(E_F) (states/eV/cell): 6.16
Theoretical density (g/cm3): 15.52

Structure (CIF):
```
data_TlOsRh2
_chemical_formula_sum 'Tl1 Os1 Rh2'
_space_group_name_H-M_alt 'P 4/m m m'
_space_group_IT_number 123
_space_group_name_Hall '-P 4 2'
_cell_length_a 4.051
_cell_length_b 4.051
_cell_length_c 3.917
_cell_angle_alpha 90.00
_cell_angle_beta 90.00
_cell_angle_gamma 90.00
loop_
_atom_site_label
_atom_site_type_symbol
_atom_site_fract_x
_atom_site_fract_y
_atom_site_fract_z
Tl1 Tl 0.000 0.000 0.000
Os1 Os 0.500 0.500 0.000
Rh1 Rh 0.000 0.500 0.500
```

Model B:
TlOsRh2: relaxed, PBE.

Properties
Volume (Å³/cell): 259
DOS(E_F) (states/eV/cell): 19.79
Theoretical density (g/cm3): 15.40

Structure (CIF):
```
data_TlOsRh2
_chemical_formula_sum 'Tl4 Os4 Rh8'
_space_group_name_H-M_alt 'F -4 3 m'
_space_group_IT_number 216
_space_group_name_Hall 'F -4 2 3'
_cell_length_a 6.374
_cell_length_b 6.374
_cell_length_c 6.374
_cell_angle_alpha 90.00
_cell_angle_beta 90.00
_cell_angle_gamma 90.00
loop_
_atom_site_label
_atom_site_type_symbol
_atom_site_fract_x
_atom_site_fract_y
_atom_site_fract_z
Tl1 Tl 0.000 0.000 0.000
Os1 Os 0.250 0.250 0.750
Rh1 Rh 0.000 0.000 0.500
Rh2 Rh 0.250 0.250 0.250
```

Most stable one: model A, least stable one: model B.

Model A:
Mo: relaxed, PBE.

Properties
Volume (Å³/cell): 68
DOS(E_F) (states/eV/cell): 3.20
Theoretical density (g/cm3): 9.38

Structure (CIF):
```
data_Mo
_chemical_formula_sum 'Mo4'
_space_group_name_H-M_alt 'I 41/a m d'
_space_group_IT_number 141
_cell_length_a 5.074
_cell_length_b 5.074
_cell_length_c 2.640
_cell_angle_alpha 90.00
_cell_angle_beta 90.00
_cell_angle_gamma 90.00
loop_
_space_group_symop_operation_xyz
'x,y,z'
'-x,-y,-z'
'-y+1/4,x+3/4,z+1/4'
'y+1/4,-x+3/4,-z+1/4'
'-x+1/2,-y,z+1/2'
'x+1/2,y,-z+1/2'
'y+1/4,-x+1/4,z+3/4'
'-y+1/4,x+1/4,-z+3/4'
'x,-y,-z'
'-x,y,z'
'-y+1/4,-x+1/4,-z+3/4'
'y+1/4,x+1/4,z+3/4'
'-x+1/2,y,-z+1/2'
'x+1/2,-y,z+1/2'
'y+1/4,x+3/4,-z+1/4'
'-y+1/4,-x+3/4,z+1/4'
'x+1/2,y+1/2,z+1/2'
'-x+1/2,-y+1/2,-z+1/2'
'-y+3/4,x+1/4,z+3/4'
'y+3/4,-x+1/4,-z+3/4'
'-x,-y+1/2,z'
'x,y+1/2,-z'
'y+3/4,-x+3/4,z+1/4'
'-y+3/4,x+3/4,-z+1/4'
'x+1/2,-y+1/2,-z+1/2'
'-x+1/2,y+1/2,z+1/2'
'-y+3/4,-x+3/4,-z+1/4'
'y+3/4,x+3/4,z+1/4'
'-x,y+1/2,-z'
'x,-y+1/2,z'
'y+3/4,x+1/4,-z+3/4'
'-y+3/4,-x+1/4,z+3/4'
loop_
_atom_site_label
_atom_site_type_symbol
_atom_site_fract_x
_atom_site_fract_y
_atom_site_fract_z
Mo1 Mo 0.000 0.250 0.375
```

Model B:
Mo: relaxed, PBE.

Properties
Volume (Å³/cell): 273
DOS(E_F) (states/eV/cell): 15.55
Theoretical density (g/cm3): 9.35

Structure (CIF):
```
data_Mo
_chemical_formula_sum 'Mo16'
_space_group_name_H-M_alt 'P 4/m n c'
_space_group_IT_number 128
_space_group_name_Hall '-P 4 2n'
_cell_length_a 7.766
_cell_length_b 7.766
_cell_length_c 4.520
_cell_angle_alpha 90.00
_cell_angle_beta 90.00
_cell_angle_gamma 90.00
loop_
_atom_site_label
_atom_site_type_symbol
_atom_site_fract_x
_atom_site_fract_y
_atom_site_fract_z
Mo1 Mo 0.032 0.321 0.000
Mo2 Mo 0.126 0.800 0.500
```

Most stable one: model B, least stable one: model A.